# 1
A plane-wave DFT calculation with PBE-GGA was carried out for a geometry-optimized KAgSn structure.

Cell: 4.870 6.482 6.508 Å, 95.26 90.18 111.84°
Element x y z (fractional)
1 K 0.121 0.242 0.359
2 K 0.879 0.758 0.641
3 Ag 0.201 0.402 0.897
4 Ag 0.799 0.598 0.103
5 Sn 0.412 0.826 0.146
6 Sn 0.588 0.174 0.854

Output
raw total energy = -2.80 eV/atom
SG = P-1 (2)
DOS at the Fermi energy = 0.35 states/eV/atom

***

# 2
A plane-wave DFT calculation with PBE-GGA was carried out for a geometry-optimized K2Ag15Sn2 structure.

Cell: 7.465 7.465 7.465 Å, 83.55 83.55 83.55°
Element x y z (fractional)
1 K 0.150 0.150 0.150
2 K 0.850 0.850 0.850
3 Ag 0.000 0.500 0.500
4 Ag 0.160 0.160 0.657
5 Ag 0.160 0.657 0.160
6 Ag 0.186 0.500 0.814
7 Ag 0.186 0.814 0.500
8 Ag 0.343 0.840 0.840
9 Ag 0.500 0.000 0.500
10 Ag 0.500 0.186 0.814
11 Ag 0.500 0.500 0.000
12 Ag 0.500 0.814 0.186
13 Ag 0.657 0.160 0.160
14 Ag 0.814 0.186 0.500
15 Ag 0.814 0.500 0.186
16 Ag 0.840 0.343 0.840
17 Ag 0.840 0.840 0.343
18 Sn 0.400 0.400 0.400
19 Sn 0.600 0.600 0.600

Output
raw total energy = -2.77 eV/atom
SG = R-3m (166)
DOS at the Fermi energy = 0.22 states/eV/atom

***

# 3
A plane-wave DFT calculation with PBE-GGA was carried out for a geometry-optimized KAgSn6 structure.

Cell: 4.785 4.785 10.719 Å, 90.00 90.00 90.00°
Element x y z (fractional)
1 K 0.000 0.000 0.000
2 Ag 0.000 0.000 0.500
3 Sn 0.000 0.500 0.333
4 Sn 0.000 0.500 0.667
5 Sn 0.500 0.000 0.333
6 Sn 0.500 0.000 0.667
7 Sn 0.500 0.500 0.150
8 Sn 0.500 0.500 0.850

Output
raw total energy = -3.55 eV/atom
SG = P4/mmm (123)
DOS at the Fermi energy = 0.48 states/eV/atom

***

# 4
A plane-wave DFT calculation with PBE-GGA was carried out for a geometry-optimized K3Ag4Sn2 structure.

Cell: 6.711 6.711 9.478 Å, 104.99 104.99 43.00°
Element x y z (fractional)
1 K 0.000 0.000 0.000
2 K 0.370 0.370 0.624
3 K 0.630 0.630 0.376
4 Ag 0.082 0.082 0.637
5 Ag 0.250 0.250 0.920
6 Ag 0.750 0.750 0.080
7 Ag 0.918 0.918 0.363
8 Sn 0.326 0.326 0.229
9 Sn 0.674 0.674 0.771

Output
raw total energy = -2.61 eV/atom
SG = C2/m (12)
DOS at the Fermi energy = 0.70 states/eV/atom

***

# 5
A plane-wave DFT calculation with PBE-GGA was carried out for a geometry-optimized K2AgSn structure.

Cell: 6.837 6.837 6.114 Å, 90.00 90.00 79.47°
Element x y z (fractional)
1 K 0.029 0.327 0.250
2 K 0.327 0.029 0.750
3 K 0.673 0.971 0.250
4 K 0.971 0.673 0.750
5 Ag 0.211 0.789 0.250
6 Ag 0.789 0.211 0.750
7 Sn 0.500 0.500 0.000
8 Sn 0.500 0.500 0.500

Output
raw total energy = -2.31 eV/atom
SG = Cmcm (63)
DOS at the Fermi energy = 0.47 states/eV/atom

***

# 6
A plane-wave DFT calculation with PBE-GGA was carried out for a geometry-optimized KAg2Sn structure.

Cell: 4.860 7.991 6.887 Å, 90.00 110.61 90.00°
Element x y z (fractional)
1 K 0.047 0.250 0.096
2 K 0.953 0.750 0.904
3 Ag 0.234 0.577 0.468
4 Ag 0.234 0.923 0.468
5 Ag 0.766 0.077 0.532
6 Ag 0.766 0.423 0.532
7 Sn 0.333 0.250 0.666
8 Sn 0.667 0.750 0.334

Output
raw total energy = -2.78 eV/atom
SG = P2_1/m (11)
DOS at the Fermi energy = 0.52 states/eV/atom

***

# 7
A plane-wave DFT calculation with PBE-GGA was carried out for a geometry-optimized K2AgSn7 structure.

Cell: 5.075 5.075 12.634 Å, 90.00 90.00 90.00°
Element x y z (fractional)
1 K 0.000 0.500 0.239
2 K 0.500 0.000 0.761
3 Ag 0.500 0.500 0.000
4 Sn 0.000 0.000 0.000
5 Sn 0.000 0.000 0.500
6 Sn 0.000 0.500 0.634
7 Sn 0.000 0.500 0.877
8 Sn 0.500 0.000 0.123
9 Sn 0.500 0.000 0.366
10 Sn 0.500 0.500 0.500

Output
raw total energy = -3.41 eV/atom
SG = P-4m2 (115)
DOS at the Fermi energy = 0.45 states/eV/atom

***

# 8
A plane-wave DFT calculation with PBE-GGA was carried out for a geometry-optimized KAgSn3 structure.

Cell: 4.878 4.878 7.069 Å, 110.13 110.13 90.01°
Element x y z (fractional)
1 K 0.000 0.000 0.000
2 Ag 0.382 0.382 0.764
3 Sn 0.257 0.758 0.515
4 Sn 0.608 0.608 0.216
5 Sn 0.758 0.257 0.515

Output
distance to the lowest polymorph of the same formula = 0.0 meV/atom
raw total energy = -3.37 eV/atom
SG = Cm (8)
DOS at the Fermi energy = 0.27 states/eV/atom

***

# 9
A plane-wave DFT calculation with PBE-GGA was carried out for a geometry-optimized K3Ag2Sn3 structure.

Cell: 6.349 6.349 15.828 Å, 90.00 90.00 128.15°
Element x y z (fractional)
1 K 0.008 0.992 0.750
2 K 0.166 0.834 0.531
3 K 0.166 0.834 0.969
4 K 0.834 0.166 0.031
5 K 0.834 0.166 0.469
6 K 0.992 0.008 0.250
7 Ag 0.293 0.707 0.165
8 Ag 0.293 0.707 0.335
9 Ag 0.707 0.293 0.665
10 Ag 0.707 0.293 0.835
11 Sn 0.315 0.685 0.750
12 Sn 0.483 0.517 0.593
13 Sn 0.483 0.517 0.907
14 Sn 0.517 0.483 0.093
15 Sn 0.517 0.483 0.407
16 Sn 0.685 0.315 0.250

Output
raw total energy = -2.67 eV/atom
SG = Cmcm (63)
DOS at the Fermi energy = 0.48 states/eV/atom

***

# 10
A plane-wave DFT calculation with PBE-GGA was carried out for a geometry-optimized KAg2Sn4 structure.

Cell: 19.456 4.968 7.607 Å, 90.00 90.00 90.00°
Element x y z (fractional)
1 K 0.143 0.250 0.030
2 K 0.357 0.750 0.530
3 K 0.643 0.250 0.470
4 K 0.857 0.750 0.970
5 Ag 0.037 0.750 0.247
6 Ag 0.216 0.250 0.546
7 Ag 0.284 0.750 0.046
8 Ag 0.463 0.250 0.747
9 Ag 0.537 0.750 0.253
10 Ag 0.716 0.250 0.954
11 Ag 0.784 0.750 0.454
12 Ag 0.963 0.250 0.753
13 Sn 0.033 0.750 0.858
14 Sn 0.065 0.250 0.480
15 Sn 0.183 0.750 0.341
16 Sn 0.189 0.750 0.741
17 Sn 0.311 0.250 0.241
18 Sn 0.317 0.250 0.841
19 Sn 0.435 0.750 0.980
20 Sn 0.467 0.250 0.358
21 Sn 0.533 0.750 0.642
22 Sn 0.565 0.250 0.020
23 Sn 0.683 0.750 0.159
24 Sn 0.689 0.750 0.759
25 Sn 0.811 0.250 0.259
26 Sn 0.817 0.250 0.659
27 Sn 0.935 0.750 0.520
28 Sn 0.967 0.250 0.142

Output
distance to the lowest polymorph of the same formula = 0.0 meV/atom
raw total energy = -3.34 eV/atom
SG = Pnma (62)
DOS at the Fermi energy = 0.32 states/eV/atom

***

# 11
A plane-wave DFT calculation with PBE-GGA was carried out for a geometry-optimized KAgSn3 structure.

Cell: 5.867 5.867 5.867 Å, 90.00 90.00 90.00°
Element x y z (fractional)
1 K 0.000 0.000 0.000
2 Ag 0.500 0.500 0.500
3 Sn 0.000 0.000 0.500
4 Sn 0.000 0.500 0.000
5 Sn 0.500 0.000 0.000

Output
distance to the lowest polymorph of the same formula = 1431.9 meV/atom
raw total energy = -1.94 eV/atom
SG = Pm-3m (221)
DOS at the Fermi energy = 0.61 states/eV/atom

***

# 12
A plane-wave DFT calculation with PBE-GGA was carried out for a geometry-optimized K6AgSn2 structure.

Cell: 11.748 11.748 11.748 Å, 30.62 30.62 30.62°
Element x y z (fractional)
1 K 0.077 0.077 0.077
2 K 0.196 0.196 0.196
3 K 0.309 0.309 0.309
4 K 0.691 0.691 0.691
5 K 0.804 0.804 0.804
6 K 0.923 0.923 0.923
7 Ag 0.500 0.500 0.500
8 Sn 0.418 0.418 0.418
9 Sn 0.582 0.582 0.582

Output
raw total energy = -2.06 eV/atom
SG = R-3m (166)
DOS at the Fermi energy = 0.56 states/eV/atom

***

# 13
A plane-wave DFT calculation with PBE-GGA was carried out for a geometry-optimized K3Ag2Sn structure.

Cell: 8.077 8.077 6.448 Å, 90.00 90.00 103.98°
Element x y z (fractional)
1 K 0.065 0.935 0.750
2 K 0.089 0.564 0.250
3 K 0.436 0.911 0.250
4 K 0.564 0.089 0.750
5 K 0.911 0.436 0.750
6 K 0.935 0.065 0.250
7 Ag 0.351 0.351 0.000
8 Ag 0.351 0.351 0.500
9 Ag 0.649 0.649 0.000
10 Ag 0.649 0.649 0.500
11 Sn 0.352 0.648 0.750
12 Sn 0.648 0.352 0.250

Output
raw total energy = -2.16 eV/atom
SG = Cmcm (63)
DOS at the Fermi energy = 0.33 states/eV/atom

***

# 14
A plane-wave DFT calculation with PBE-GGA was carried out for a geometry-optimized KAg5Sn2 structure.

Cell: 7.142 7.142 7.142 Å, 143.43 114.29 77.61°
Element x y z (fractional)
1 K 0.000 0.000 0.000
2 Ag 0.185 0.366 0.819
3 Ag 0.452 0.634 0.819
4 Ag 0.500 0.000 0.500
5 Ag 0.548 0.366 0.181
6 Ag 0.815 0.634 0.181
7 Sn 0.249 0.749 0.500
8 Sn 0.751 0.251 0.500

Output
raw total energy = -2.92 eV/atom
SG = Immm (71)
DOS at the Fermi energy = 0.33 states/eV/atom

***

# 15
A plane-wave DFT calculation with PBE-GGA was carried out for a geometry-optimized KAgSn structure.

Cell: 11.372 11.372 11.372 Å, 23.97 23.97 23.97°
Element x y z (fractional)
1 K 0.070 0.070 0.070
2 K 0.930 0.930 0.930
3 Ag 0.332 0.332 0.332
4 Ag 0.668 0.668 0.668
5 Sn 0.183 0.183 0.183
6 Sn 0.817 0.817 0.817

Output
raw total energy = -2.68 eV/atom
SG = R-3m (166)
DOS at the Fermi energy = 0.58 states/eV/atom

***

# 16
A plane-wave DFT calculation with PBE-GGA was carried out for a geometry-optimized KAgSn3 structure.

Cell: 5.507 5.507 5.507 Å, 90.00 90.00 90.00°
Element x y z (fractional)
1 K 0.000 0.000 0.000
2 Ag 0.500 0.500 0.500
3 Sn 0.000 0.500 0.500
4 Sn 0.500 0.000 0.500
5 Sn 0.500 0.500 0.000

Output
distance to the lowest polymorph of the same formula = 378.3 meV/atom
raw total energy = -2.99 eV/atom
SG = Pm-3m (221)
DOS at the Fermi energy = 0.67 states/eV/atom

***

# 17
A plane-wave DFT calculation with PBE-GGA was carried out for a geometry-optimized KAg2Sn4 structure.

Cell: 6.369 6.369 6.369 Å, 101.54 101.54 126.87°
Element x y z (fractional)
1 K 0.000 0.000 0.000
2 Ag 0.250 0.750 0.500
3 Ag 0.750 0.250 0.500
4 Sn 0.305 0.305 0.610
5 Sn 0.305 0.695 0.000
6 Sn 0.695 0.305 0.000
7 Sn 0.695 0.695 0.390

Output
distance to the lowest polymorph of the same formula = 79.8 meV/atom
raw total energy = -3.26 eV/atom
SG = I4/mmm (139)
DOS at the Fermi energy = 0.48 states/eV/atom

***

# 18
A plane-wave DFT calculation with PBE-GGA was carried out for a geometry-optimized K2Ag3Sn5 structure.

Cell: 9.748 9.748 9.748 Å, 101.56 92.07 139.77°
Element x y z (fractional)
1 K 0.129 0.246 0.375
2 K 0.371 0.746 0.117
3 K 0.629 0.254 0.883
4 K 0.871 0.754 0.625
5 Ag 0.128 0.867 0.995
6 Ag 0.250 0.750 0.500
7 Ag 0.372 0.367 0.739
8 Ag 0.628 0.633 0.261
9 Ag 0.750 0.250 0.500
10 Ag 0.872 0.133 0.005
11 Sn 0.005 0.750 0.255
12 Sn 0.114 0.642 0.755
13 Sn 0.250 0.250 0.000
14 Sn 0.386 0.142 0.528
15 Sn 0.495 0.750 0.745
16 Sn 0.505 0.250 0.255
17 Sn 0.614 0.858 0.472
18 Sn 0.750 0.750 0.000
19 Sn 0.886 0.358 0.245
20 Sn 0.995 0.250 0.745

Output
raw total energy = -3.21 eV/atom
SG = Ibam (72)
DOS at the Fermi energy = 0.43 states/eV/atom

***

# 19
A plane-wave DFT calculation with PBE-GGA was carried out for a geometry-optimized KAg3Sn structure.

Cell: 5.355 5.355 5.355 Å, 90.00 90.00 90.00°
Element x y z (fractional)
1 K 0.000 0.000 0.000
2 Ag 0.000 0.500 0.500
3 Ag 0.500 0.000 0.500
4 Ag 0.500 0.500 0.000
5 Sn 0.500 0.500 0.500

Output
distance to the lowest polymorph of the same formula = 78.4 meV/atom
raw total energy = -2.66 eV/atom
SG = Pm-3m (221)
DOS at the Fermi energy = 0.02 states/eV/atom

***

# 20
A plane-wave DFT calculation with PBE-GGA was carried out for a geometry-optimized KAg3Sn structure.

Cell: 7.488 7.488 7.488 Å, 132.00 93.28 105.89°
Element x y z (fractional)
1 K 0.317 0.067 0.250
2 K 0.683 0.933 0.750
3 Ag 0.116 0.366 0.750
4 Ag 0.215 0.000 0.715
5 Ag 0.215 0.500 0.215
6 Ag 0.785 0.000 0.285
7 Ag 0.785 0.500 0.785
8 Ag 0.884 0.634 0.250
9 Sn 0.000 0.500 0.500
10 Sn 0.500 0.500 0.000

Output
distance to the lowest polymorph of the same formula = 0.0 meV/atom
raw total energy = -2.74 eV/atom
SG = Imma (74)
DOS at the Fermi energy = 0.24 states/eV/atom

***

# 21
A plane-wave DFT calculation with PBE-GGA was carried out for a geometry-optimized KAg6Sn2 structure.

Cell: 8.162 8.162 8.162 Å, 150.50 124.86 63.78°
Element x y z (fractional)
1 K 0.000 0.000 0.000
2 Ag 0.008 0.313 0.694
3 Ag 0.323 0.500 0.823
4 Ag 0.381 0.687 0.694
5 Ag 0.619 0.313 0.306
6 Ag 0.677 0.500 0.177
7 Ag 0.992 0.687 0.306
8 Sn 0.368 0.868 0.500
9 Sn 0.632 0.132 0.500

Output
raw total energy = -2.80 eV/atom
SG = Immm (71)
DOS at the Fermi energy = 0.27 states/eV/atom

***

# 22
A plane-wave DFT calculation with PBE-GGA was carried out for a geometry-optimized K4Ag5Sn structure.

Cell: 6.790 7.909 7.918 Å, 79.72 65.06 65.27°
Element x y z (fractional)
1 K 0.000 0.000 0.000
2 K 0.162 0.213 0.455
3 K 0.388 0.379 0.834
4 K 0.774 0.835 0.620
5 Ag 0.401 0.727 0.492
6 Ag 0.522 0.871 0.105
7 Ag 0.661 0.340 0.349
8 Ag 0.782 0.485 0.962
9 Ag 0.892 0.605 0.228
10 Sn 0.301 0.607 0.227

Output
raw total energy = -2.16 eV/atom
SG = P1 (1)
DOS at the Fermi energy = 0.56 states/eV/atom